# Ta2ReTe PBE relaxed
data_Ta2ReTe
_chemical_formula_sum 'Ta6 Re3 Te3'
_cell_length_a 3.2926
_cell_length_b 3.2926
_cell_length_c 24.7435
_cell_angle_alpha 90.00
_cell_angle_beta 90.00
_cell_angle_gamma 120.00
_space_group_name_H-M_alt 'R -3 m'
_space_group_IT_number 166
_space_group_name_Hall '-R 3 2"'
loop_
_atom_site_label
_atom_site_fract_x
_atom_site_fract_y
_atom_site_fract_z
_atom_site_occupancy
Ta1 0.0000 0.0000 0.2423 1
Re1 0.0000 0.0000 0.5000 1
Te1 0.0000 0.0000 0.0000 1
# - formation energy (no corrections) (kJ per mole of atoms) = 28
# - total DFT energy (no corrections) (eV per atom) = -9.534
# - M_tot (μB per cell) = 0.00